{
  "formula": "PaNi4Pb",
  "functional": "PBE",
  "state": "relaxed",
  "lattice_angstrom": [[-4.716, -0.931, -1.585], [-0.768, -2.727, -4.194], [-1.906, -4.677, 0.336]],
  "species": ["Pb", "Ni", "Ni", "Ni", "Ni", "Pa"],
  "fractional_positions": [[0.250, 0.250, 0.250], [0.625, 0.625, 0.125], [0.625, 0.125, 0.625], [0.625, 0.625, 0.625], [0.125, 0.625, 0.625], [0.000, 0.000, 0.000]],
  "delta_e_f_ev_per_atom": -0.232,
  "n_ef_per_ev_atom": 0.94,
  "e_tot_ev_per_atom": -6.287,
  "magnetic_moment_mub_per_cell": 0.00
}